# 1
VASP calculation (PBE) on a relaxed structure of Cu2AsPd.

Calculated values
Fermi-level density of states = 0.589 states/eV/atom

Geometry as CIF:
```
data_Cu2AsPd
_chemical_formula_sum 'Cu2 As1 Pd1'
_symmetry_space_group_name_H-M 'P 1'
_symmetry_Int_Tables_number 1
_cell_length_a 3.888
_cell_length_b 3.807
_cell_length_c 3.807
_cell_angle_alpha 90.00
_cell_angle_beta 90.00
_cell_angle_gamma 90.00
loop_
_symmetry_equiv_pos_as_xyz
'x,y,z'
loop_
_atom_site_label
_atom_site_fract_x
_atom_site_fract_y
_atom_site_fract_z
As1 0.500 0.000 0.000
Cu1 0.000 0.500 0.000
Cu2 0.000 0.000 0.500
Pd1 0.500 0.500 0.500
```


# 2
VASP calculation (PBE) on a relaxed structure of Cu2AsPd4.

Calculated values
Offset from the most stable computed form = 47 meV per atom
Fermi-level density of states = 0.389 states/eV/atom

Geometry as CIF:
```
data_Cu2AsPd4
_chemical_formula_sum 'Cu2 As1 Pd4'
_symmetry_space_group_name_H-M 'P 1'
_symmetry_Int_Tables_number 1
_cell_length_a 5.198
_cell_length_b 5.198
_cell_length_c 5.198
_cell_angle_alpha 112.49
_cell_angle_beta 107.98
_cell_angle_gamma 107.98
loop_
_symmetry_equiv_pos_as_xyz
'x,y,z'
loop_
_atom_site_label
_atom_site_fract_x
_atom_site_fract_y
_atom_site_fract_z
Pd1 0.000 0.000 0.500
Pd2 0.500 0.500 0.500
Pd3 0.000 0.500 0.000
As1 0.000 0.000 0.000
Cu1 0.500 0.500 0.000
Pd4 0.500 0.000 0.000
Cu2 0.500 0.000 0.500
```


# 3
VASP calculation (PBE) on a relaxed structure of Cu6AsPd12.

Calculated values
Offset from the most stable computed form = 60 meV per atom
Fermi-level density of states = 0.824 states/eV/atom

Geometry as CIF:
```
data_Cu6AsPd12
_chemical_formula_sum 'Cu6 As1 Pd12'
_symmetry_space_group_name_H-M 'P 1'
_symmetry_Int_Tables_number 1
_cell_length_a 6.544
_cell_length_b 6.544
_cell_length_c 6.544
_cell_angle_alpha 89.64
_cell_angle_beta 89.64
_cell_angle_gamma 89.64
loop_
_symmetry_equiv_pos_as_xyz
'x,y,z'
loop_
_atom_site_label
_atom_site_fract_x
_atom_site_fract_y
_atom_site_fract_z
Cu1 0.113 0.728 0.271
Cu2 0.728 0.271 0.113
Cu3 0.272 0.729 0.887
Pd1 0.365 0.020 0.152
Pd2 0.802 0.532 0.437
Cu4 0.887 0.272 0.729
Cu5 0.729 0.887 0.272
Cu6 0.271 0.113 0.728
Pd3 0.198 0.468 0.563
As1 0.000 0.000 0.000
Pd4 0.635 0.980 0.848
Pd5 0.020 0.152 0.365
Pd6 0.563 0.198 0.468
Pd7 0.848 0.635 0.980
Pd8 0.437 0.802 0.532
Pd9 0.532 0.437 0.802
Pd10 0.468 0.563 0.198
Pd11 0.980 0.848 0.635
Pd12 0.152 0.365 0.020
```


# 4
VASP calculation (PBE) on a relaxed structure of CuAsPd5.

Calculated values
Fermi-level density of states = 0.546 states/eV/atom

Geometry as CIF:
```
data_CuAsPd5
_chemical_formula_sum 'Cu2 As2 Pd10'
_symmetry_space_group_name_H-M 'P 1'
_symmetry_Int_Tables_number 1
_cell_length_a 6.429
_cell_length_b 6.429
_cell_length_c 8.016
_cell_angle_alpha 60.05
_cell_angle_beta 60.05
_cell_angle_gamma 81.11
loop_
_symmetry_equiv_pos_as_xyz
'x,y,z'
loop_
_atom_site_label
_atom_site_fract_x
_atom_site_fract_y
_atom_site_fract_z
Pd1 0.251 0.365 0.160
Pd2 0.749 0.635 0.840
Cu1 0.476 0.524 0.750
Pd3 0.159 0.648 0.474
As1 0.000 0.000 0.000
Pd4 0.365 0.251 0.660
Pd5 0.648 0.159 0.974
Pd6 0.635 0.749 0.340
Pd7 0.824 0.176 0.250
Pd8 0.176 0.824 0.750
As2 0.000 0.000 0.500
Pd9 0.352 0.841 0.026
Cu2 0.524 0.476 0.250
Pd10 0.841 0.352 0.526
```


# 5
VASP calculation (PBE) on a relaxed structure of Cu6AsPd12.

Calculated values
Offset from the most stable computed form = 0 meV per atom
Fermi-level density of states = 0.952 states/eV/atom

Geometry as CIF:
```
data_Cu6AsPd12
_chemical_formula_sum 'Cu6 As1 Pd12'
_symmetry_space_group_name_H-M 'P 1'
_symmetry_Int_Tables_number 1
_cell_length_a 6.743
_cell_length_b 7.219
_cell_length_c 7.219
_cell_angle_alpha 69.23
_cell_angle_beta 71.86
_cell_angle_gamma 108.14
loop_
_symmetry_equiv_pos_as_xyz
'x,y,z'
loop_
_atom_site_label
_atom_site_fract_x
_atom_site_fract_y
_atom_site_fract_z
Cu1 0.421 0.473 0.212
Pd1 0.891 0.629 0.946
Cu2 0.052 0.685 0.527
Cu3 0.367 0.788 0.685
Pd2 0.679 0.887 0.843
Pd3 0.262 0.425 0.629
Pd4 0.163 0.054 0.575
Pd5 0.792 0.269 0.887
Cu4 0.579 0.527 0.788
Pd6 0.208 0.731 0.113
Pd7 0.477 0.157 0.731
Pd8 0.321 0.113 0.157
Pd9 0.523 0.843 0.269
Pd10 0.738 0.575 0.371
As1 0.000 0.000 0.000
Pd11 0.837 0.946 0.425
Pd12 0.109 0.371 0.054
Cu5 0.948 0.315 0.473
Cu6 0.633 0.212 0.315
```


# 6
VASP calculation (PBE) on a relaxed structure of Cu5AsPd4.

Calculated values
Fermi-level density of states = 0.413 states/eV/atom

Geometry as CIF:
```
data_Cu5AsPd4
_chemical_formula_sum 'Cu5 As1 Pd4'
_symmetry_space_group_name_H-M 'P 1'
_symmetry_Int_Tables_number 1
_cell_length_a 4.384
_cell_length_b 5.337
_cell_length_c 6.418
_cell_angle_alpha 101.04
_cell_angle_beta 109.97
_cell_angle_gamma 90.00
loop_
_symmetry_equiv_pos_as_xyz
'x,y,z'
loop_
_atom_site_label
_atom_site_fract_x
_atom_site_fract_y
_atom_site_fract_z
Cu1 0.302 0.220 0.604
Cu2 0.698 0.780 0.396
Pd1 0.307 0.712 0.615
Pd2 0.693 0.288 0.385
Pd3 0.101 0.913 0.201
As1 0.500 0.000 0.000
Cu3 0.899 0.571 0.798
Pd4 0.899 0.087 0.799
Cu4 0.500 0.500 0.000
Cu5 0.101 0.429 0.202
```


# 7
VASP calculation (PBE) on a relaxed structure of CuAsPd4.

Calculated values
Offset from the most stable computed form = 0 meV per atom
Fermi-level density of states = 0.383 states/eV/atom

Geometry as CIF:
```
data_CuAsPd4
_chemical_formula_sum 'Cu4 As4 Pd16'
_symmetry_space_group_name_H-M 'P 1'
_symmetry_Int_Tables_number 1
_cell_length_a 2.974
_cell_length_b 7.132
_cell_length_c 17.088
_cell_angle_alpha 90.00
_cell_angle_beta 90.00
_cell_angle_gamma 90.00
loop_
_symmetry_equiv_pos_as_xyz
'x,y,z'
loop_
_atom_site_label
_atom_site_fract_x
_atom_site_fract_y
_atom_site_fract_z
Cu1 0.750 0.198 0.688
Pd1 0.250 0.501 0.715
Pd2 0.250 0.545 0.427
Pd3 0.250 0.600 0.937
Pd4 0.750 0.455 0.573
Pd5 0.250 0.100 0.563
Pd6 0.750 0.400 0.063
Pd7 0.750 0.955 0.927
As1 0.250 0.747 0.549
As2 0.750 0.753 0.049
Pd8 0.750 0.999 0.215
Pd9 0.250 0.174 0.337
Pd10 0.250 0.001 0.785
Pd11 0.750 0.900 0.437
Pd12 0.250 0.045 0.073
Pd13 0.750 0.326 0.837
As3 0.250 0.247 0.951
Cu2 0.250 0.802 0.312
As4 0.750 0.253 0.451
Pd14 0.250 0.674 0.163
Pd15 0.750 0.499 0.285
Cu3 0.250 0.302 0.188
Pd16 0.750 0.826 0.663
Cu4 0.750 0.698 0.812
```


# 8
VASP calculation (PBE) on a relaxed structure of Cu14AsPd.

Calculated values
Fermi-level density of states = 0.460 states/eV/atom

Geometry as CIF:
```
data_Cu14AsPd
_chemical_formula_sum 'Cu14 As1 Pd1'
_symmetry_space_group_name_H-M 'P 1'
_symmetry_Int_Tables_number 1
_cell_length_a 5.229
_cell_length_b 5.229
_cell_length_c 8.514
_cell_angle_alpha 90.00
_cell_angle_beta 90.00
_cell_angle_gamma 120.84
loop_
_symmetry_equiv_pos_as_xyz
'x,y,z'
loop_
_atom_site_label
_atom_site_fract_x
_atom_site_fract_y
_atom_site_fract_z
Cu1 0.711 0.289 0.000
Cu2 0.213 0.787 0.000
As1 0.536 0.464 0.500
Cu3 0.036 0.462 0.500
Cu4 0.374 0.626 0.247
Cu5 0.874 0.126 0.758
Cu6 0.878 0.623 0.241
Cu7 0.377 0.122 0.241
Cu8 0.878 0.623 0.759
Cu9 0.377 0.122 0.759
Cu10 0.538 0.964 0.500
Cu11 0.374 0.626 0.753
Cu12 0.874 0.126 0.242
Cu13 0.212 0.291 0.000
Pd1 0.038 0.962 0.500
Cu14 0.709 0.788 0.000
```


# 9
VASP calculation (PBE) on a relaxed structure of Cu2AsPd8.

Calculated values
Fermi-level density of states = 0.717 states/eV/atom

Geometry as CIF:
```
data_Cu2AsPd8
_chemical_formula_sum 'Cu2 As1 Pd8'
_symmetry_space_group_name_H-M 'P 1'
_symmetry_Int_Tables_number 1
_cell_length_a 4.451
_cell_length_b 5.706
_cell_length_c 7.486
_cell_angle_alpha 110.58
_cell_angle_beta 107.29
_cell_angle_gamma 90.00
loop_
_symmetry_equiv_pos_as_xyz
'x,y,z'
loop_
_atom_site_label
_atom_site_fract_x
_atom_site_fract_y
_atom_site_fract_z
Pd1 0.630 0.414 0.261
Pd2 0.370 0.586 0.739
Cu1 0.814 0.319 0.628
Pd3 0.182 0.207 0.365
Pd4 0.349 0.092 0.697
Pd5 0.818 0.793 0.635
Cu2 0.186 0.681 0.372
Pd6 0.651 0.908 0.303
Pd7 0.009 0.751 0.018
Pd8 0.991 0.249 0.982
As1 0.500 0.000 0.000
```


# 10
VASP calculation (PBE) on a relaxed structure of CuAs2Pd4.

Calculated values
Fermi-level density of states = 0.719 states/eV/atom

Geometry as CIF:
```
data_CuAs2Pd4
_chemical_formula_sum 'Cu1 As2 Pd4'
_symmetry_space_group_name_H-M 'P 1'
_symmetry_Int_Tables_number 1
_cell_length_a 4.149
_cell_length_b 4.149
_cell_length_c 6.505
_cell_angle_alpha 90.00
_cell_angle_beta 90.00
_cell_angle_gamma 90.00
loop_
_symmetry_equiv_pos_as_xyz
'x,y,z'
loop_
_atom_site_label
_atom_site_fract_x
_atom_site_fract_y
_atom_site_fract_z
As1 0.000 0.000 0.000
Cu1 0.500 0.500 0.000
Pd1 0.000 0.500 0.266
Pd2 0.000 0.500 0.734
Pd3 0.500 0.000 0.734
Pd4 0.500 0.000 0.266
As2 0.500 0.500 0.500
```


Number 1: DFT formation energy -6.0 kJ/mol of atoms, magnetic moment 0.000 μB per cell, DFT total energy -18.3 eV/cell. Number 2: DFT formation energy -13.9 kJ/mol of atoms, magnetic moment 0.000 μB per cell, DFT total energy -34.6 eV/cell. Number 3: DFT formation energy -4.4 kJ/mol of atoms, magnetic moment 0.000 μB per cell, DFT total energy -92.4 eV/cell. Number 4: DFT formation energy 6.0 kJ/mol of atoms, magnetic moment 0.000 μB per cell, DFT total energy -68.6 eV/cell. Number 5: DFT formation energy -10.2 kJ/mol of atoms, magnetic moment 0.000 μB per cell, DFT total energy -93.6 eV/cell. Number 6: DFT formation energy -14.1 kJ/mol of atoms, magnetic moment 0.000 μB per cell, DFT total energy -47.4 eV/cell. Number 7: DFT formation energy -21.2 kJ/mol of atoms, magnetic moment 0.000 μB per cell, DFT total energy -123.3 eV/cell. Number 8: DFT formation energy -0.6 kJ/mol of atoms, magnetic moment 0.000 μB per cell, DFT total energy -67.3 eV/cell. Number 9: DFT formation energy -13.0 kJ/mol of atoms, magnetic moment 0.000 μB per cell, DFT total energy -55.9 eV/cell. Number 10: DFT formation energy -23.2 kJ/mol of atoms, magnetic moment 0.000 μB per cell, DFT total energy -35.9 eV/cell.